Here is crystalline CaZnRh at its relaxed geometry from the Alexandria database. Energies are from PBE. Values from VASP.

Results
The total energy is -0.115 Ha/atom. The calculation puts the energy of formation from the pure elements at 403 meV/atom.

Geometry as Quantum ESPRESSO input:
```
&SYSTEM
  ibrav = 0, nat = 3, ntyp = 3
/
ATOMIC_SPECIES
Zn 65.41 Zn.upf
Rh 102.91 Rh.upf
Ca 40.08 Ca.upf
CELL_PARAMETERS angstrom
-1.300 3.583 -2.560
-4.443 0.641 -0.964
-2.287 3.486 1.923
ATOMIC_POSITIONS crystal
Zn 0.500 0.500 0.500
Rh 0.000 0.000 0.000
Ca 0.750 0.750 0.750
```

---

Here is crystalline GdZnCuPd at its relaxed geometry from the Alexandria database. Energies are from PBE. Values from VASP.

Results
The total energy is -0.241 Ha/atom. The calculation puts the energy of formation from the pure elements at -407 meV/atom.

Geometry as Quantum ESPRESSO input:
```
&SYSTEM
  ibrav = 0, nat = 4, ntyp = 4
/
ATOMIC_SPECIES
Zn 65.41 Zn.upf
Gd 157.25 Gd.upf
Cu 63.55 Cu.upf
Pd 106.42 Pd.upf
CELL_PARAMETERS angstrom
4.688 0.000 0.000
2.344 4.060 0.000
2.344 1.353 3.827
ATOMIC_POSITIONS crystal
Zn 0.000 0.000 0.000
Gd 0.500 0.500 0.500
Cu 0.250 0.250 0.250
Pd 0.750 0.750 0.750
```

---

Here is crystalline SrNdSmMg at its relaxed geometry from the Alexandria database. Energies are from PBE. Values from VASP.

Results
The total energy is -0.112 Ha/atom. The calculation puts the energy of formation from the pure elements at 140 meV/atom.

Geometry as Quantum ESPRESSO input:
```
&SYSTEM
  ibrav = 0, nat = 4, ntyp = 4
/
ATOMIC_SPECIES
Sr 87.62 Sr.upf
Mg 24.30 Mg.upf
Nd 144.24 Nd.upf
Sm 150.36 Sm.upf
CELL_PARAMETERS angstrom
5.802 0.000 0.000
2.901 5.024 0.000
2.901 1.675 4.737
ATOMIC_POSITIONS crystal
Sr 0.500 0.500 0.500
Mg 0.000 0.000 0.000
Nd 0.750 0.750 0.750
Sm 0.250 0.250 0.250
```

---

Here is crystalline BaCu2Si3 at its relaxed geometry from the Alexandria database. Energies are from PBE. Values from VASP.

Results
The total energy is -0.169 Ha/atom. The calculation puts the energy relative to the elements, uncorrected at -18.81 kJ/mol of atoms.

Geometry as Quantum ESPRESSO input:
```
&SYSTEM
  ibrav = 0, nat = 12, ntyp = 3
/
ATOMIC_SPECIES
Ba 137.33 Ba.upf
Cu 63.55 Cu.upf
Si 28.09 Si.upf
CELL_PARAMETERS angstrom
-1.137 -5.766 -1.989
6.059 -1.182 -0.040
-0.584 -3.174 5.299
ATOMIC_POSITIONS crystal
Ba 0.697 0.750 0.697
Ba 0.303 0.250 0.303
Cu 0.164 0.500 0.836
Cu 0.164 0.000 0.836
Cu 0.836 0.000 0.164
Cu 0.836 0.500 0.164
Si 0.468 0.250 0.766
Si 0.766 0.250 0.468
Si 0.532 0.750 0.234
Si 0.848 0.250 0.848
Si 0.152 0.750 0.152
Si 0.234 0.750 0.532
```